No. 1
BaMg2Fe: relaxed, PBE.

Calculated values
* energy of formation: 12.63 kcal/mol of atoms

The structure in CIF format:
```
data_BaMg2Fe
_symmetry_space_group_name_H-M 'R -3 m'
_symmetry_Int_Tables_number 166
_symmetry_space_group_name_Hall '-R 3 2"'
_cell_length_a 3.3324
_cell_length_b 3.3324
_cell_length_c 31.1003
_cell_angle_alpha 90.00
_cell_angle_beta 90.00
_cell_angle_gamma 120.00
loop_
_atom_site_label
_atom_site_fract_x
_atom_site_fract_y
_atom_site_fract_z
_atom_site_occupancy
Ba1 0.0000 0.0000 0.0000 1
Mg1 0.0000 0.0000 0.2313 1
Fe1 0.0000 0.0000 0.5000 1
```

=====

No. 2
BaPmIn: relaxed, PBE.

Calculated values
* energy of formation: -6.05 kcal/mol of atoms

The structure in CIF format:
```
data_BaPmIn
_symmetry_space_group_name_H-M 'I 4/m m m'
_symmetry_Int_Tables_number 139
_symmetry_space_group_name_Hall '-I 4 2'
_cell_length_a 4.094
_cell_length_b 4.094
_cell_length_c 28.546
_cell_angle_alpha 90.00
_cell_angle_beta 90.00
_cell_angle_gamma 90.00
loop_
_atom_site_label
_atom_site_fract_x
_atom_site_fract_y
_atom_site_fract_z
_atom_site_occupancy
Ba1 0.000 0.000 0.076 1
Pm1 0.000 0.000 0.212 1
In1 0.000 0.000 0.343 1
```

=====

No. 3
Si2TcP: relaxed, PBE.

Calculated values
* formation energy (no corrections): 0.130 eV per atom

The structure in CIF format:
```
data_Si2TcP
_symmetry_space_group_name_H-M 'C m m m'
_symmetry_Int_Tables_number 65
_symmetry_space_group_name_Hall '-C 2 2'
_cell_length_a 4.924
_cell_length_b 7.178
_cell_length_c 3.019
_cell_angle_alpha 90.00
_cell_angle_beta 90.00
_cell_angle_gamma 90.00
loop_
_atom_site_label
_atom_site_fract_x
_atom_site_fract_y
_atom_site_fract_z
_atom_site_occupancy
Si1 0.250 0.250 0.000 1
Tc1 0.000 0.000 0.500 1
P1 0.000 0.500 0.500 1
```

=====

No. 4
PaPt4Au: relaxed, PBE.

Calculated values
* energy of formation: -17.99 kcal/mol of atoms

The structure in CIF format:
```
data_PaPt4Au
_symmetry_space_group_name_H-M 'F -4 3 m'
_symmetry_Int_Tables_number 216
_symmetry_space_group_name_Hall 'F -4 2 3'
_cell_length_a 7.568
_cell_length_b 7.568
_cell_length_c 7.568
_cell_angle_alpha 90.00
_cell_angle_beta 90.00
_cell_angle_gamma 90.00
loop_
_atom_site_label
_atom_site_fract_x
_atom_site_fract_y
_atom_site_fract_z
_atom_site_occupancy
Pa1 0.000 0.000 0.000 1
Pt1 0.125 0.125 0.625 1
Au1 0.250 0.250 0.250 1
```

=====

no.,E (eV per atom)
1,-2.846
2,-3.399
3,-6.526
4,-6.936